# ErGe2SbO8 PBE-GGA optimized geometry
# Raw total energy = -0.24530 Ha/atom
data_ErGe2SbO8
_chemical_formula_sum 'Er2 Ge4 Sb2 O16'
_cell_length_a 6.865
_cell_length_b 6.865
_cell_length_c 6.292
_cell_angle_alpha 90.00
_cell_angle_beta 90.00
_cell_angle_gamma 90.00
_space_group_name_H-M_alt 'I -4 m 2'
_space_group_IT_number 119
_space_group_name_Hall 'I -4 -2'
loop_
_atom_site_label
_atom_site_type_symbol
_atom_site_fract_x
_atom_site_fract_y
_atom_site_fract_z
_atom_site_occupancy
Er1 Er 0.000 0.000 0.000 1
Ge1 Ge 0.000 0.000 0.500 1
Ge2 Ge 0.000 0.500 0.250 1
Sb1 Sb 0.000 0.500 0.750 1
O1 O 0.000 0.193 0.689 1
O2 O 0.000 0.322 0.047 1



# Sm4Er2Ge3O2 PBE-GGA optimized geometry
# Fermi-level density of states = 11.612 states/eV/cell
# Raw total energy = -0.22810 Ha/atom
data_Sm4Er2Ge3O2
_chemical_formula_sum 'Sm8 Er4 Ge6 O4'
_cell_length_a 4.638
_cell_length_b 4.638
_cell_length_c 23.809
_cell_angle_alpha 90.00
_cell_angle_beta 90.00
_cell_angle_gamma 90.00
_space_group_name_H-M_alt 'I 4/m m m'
_space_group_IT_number 139
_space_group_name_Hall '-I 4 2'
loop_
_atom_site_label
_atom_site_type_symbol
_atom_site_fract_x
_atom_site_fract_y
_atom_site_fract_z
_atom_site_occupancy
Sm1 Sm 0.000 0.500 0.082 1
Er1 Er 0.000 0.000 0.199 1
Ge1 Ge 0.000 0.000 0.322 1
Ge2 Ge 0.000 0.000 0.500 1
O1 O 0.000 0.000 0.106 1



# ErSnGe2O8 PBE-GGA optimized geometry
# Fermi-level density of states = 19.630 states/eV/cell
# Raw total energy = -0.24324 Ha/atom
data_ErSnGe2O8
_chemical_formula_sum 'Er2 Sn2 Ge4 O16'
_cell_length_a 6.919
_cell_length_b 6.919
_cell_length_c 6.388
_cell_angle_alpha 90.00
_cell_angle_beta 90.00
_cell_angle_gamma 90.00
_space_group_name_H-M_alt 'I -4 m 2'
_space_group_IT_number 119
_space_group_name_Hall 'I -4 -2'
loop_
_atom_site_label
_atom_site_type_symbol
_atom_site_fract_x
_atom_site_fract_y
_atom_site_fract_z
_atom_site_occupancy
Er1 Er 0.000 0.000 0.000 1
Sn1 Sn 0.000 0.500 0.250 1
Ge1 Ge 0.000 0.000 0.500 1
Ge2 Ge 0.000 0.500 0.750 1
O1 O 0.000 0.190 0.313 1
O2 O 0.000 0.319 0.944 1



# Tb4Er2Ge3O2 PBE-GGA optimized geometry
# Fermi-level density of states = 13.025 states/eV/cell
# Raw total energy = -0.22872 Ha/atom
data_Tb4Er2Ge3O2
_chemical_formula_sum 'Tb8 Er4 Ge6 O4'
_cell_length_a 4.559
_cell_length_b 4.559
_cell_length_c 23.535
_cell_angle_alpha 90.00
_cell_angle_beta 90.00
_cell_angle_gamma 90.00
_space_group_name_H-M_alt 'I 4/m m m'
_space_group_IT_number 139
_space_group_name_Hall '-I 4 2'
loop_
_atom_site_label
_atom_site_type_symbol
_atom_site_fract_x
_atom_site_fract_y
_atom_site_fract_z
_atom_site_occupancy
Tb1 Tb 0.000 0.500 0.081 1
Er1 Er 0.000 0.000 0.198 1
Ge1 Ge 0.000 0.000 0.323 1
Ge2 Ge 0.000 0.000 0.500 1
O1 O 0.000 0.000 0.102 1